Entry 1:
Below is a geometry-optimized LaPaAsO structure, with properties calculated at the GGA-PBE level.

Results
excess energy over the best structure of this formula in the dataset = 0.0 kJ per mole of atoms

Cell lengths 4.285, 4.285, 9.808 Å; angles 90.00, 90.00, 90.00 degrees
Space group P4/nmm (No. 129, origin choice 2)
Symmetry-distinct sites (fractional):
La 0.250 0.250 0.114 [2 per cell]
Pa 0.250 0.750 0.500 [2 per cell]
As 0.250 0.250 0.713 [2 per cell]
O 0.250 0.750 0.000 [2 per cell]

Entry 2:
Below is a geometry-optimized LaPaAsO structure, with properties calculated at the GGA-PBE level.

Results
excess energy over the best structure of this formula in the dataset = 8.4 kJ per mole of atoms

Cell lengths 4.229, 4.229, 9.625 Å; angles 90.00, 90.00, 90.00 degrees
Space group P4/nmm (No. 129, origin choice 2)
Symmetry-distinct sites (fractional):
La 0.250 0.750 0.000 [2 per cell]
Pa 0.250 0.250 0.375 [2 per cell]
As 0.250 0.250 0.764 [2 per cell]
O 0.250 0.750 0.500 [2 per cell]

Entry 3:
Below is a geometry-optimized LaPmAsO structure, with properties calculated at the GGA-PBE level.

Results
excess energy over the best structure of this formula in the dataset = 2.7 kJ per mole of atoms

Cell lengths 4.459, 4.459, 9.406 Å; angles 90.00, 90.00, 90.00 degrees
Space group P4/nmm (No. 129, origin choice 2)
Symmetry-distinct sites (fractional):
La 0.250 0.250 0.108 [2 per cell]
Pm 0.250 0.750 0.500 [2 per cell]
As 0.250 0.250 0.704 [2 per cell]
O 0.250 0.750 0.000 [2 per cell]

Entry 4:
Below is a geometry-optimized LaPmAsO structure, with properties calculated at the GGA-PBE level.

Results
excess energy over the best structure of this formula in the dataset = 0.0 kJ per mole of atoms

Cell lengths 4.355, 7.926, 6.247 Å; angles 90.00, 90.00, 90.00 degrees
Space group Pmc2_1 (No. 26)
Symmetry-distinct sites (fractional):
La 0.000 0.203 0.000 [2 per cell]
Pm 0.500 0.391 0.575 [2 per cell]
As 0.000 0.172 0.492 [2 per cell]
O 0.500 0.330 0.938 [2 per cell]

Entry 5:
Below is a geometry-optimized LaPmAsO structure, with properties calculated at the GGA-PBE level.

Results
excess energy over the best structure of this formula in the dataset = 12.9 kJ per mole of atoms

Cell lengths 4.331, 4.331, 9.636 Å; angles 90.00, 90.00, 90.00 degrees
Space group P4/nmm (No. 129, origin choice 2)
Symmetry-distinct sites (fractional):
La 0.250 0.750 0.000 [2 per cell]
Pm 0.250 0.250 0.397 [2 per cell]
As 0.250 0.250 0.782 [2 per cell]
O 0.250 0.750 0.500 [2 per cell]

Entry 6:
Below is a geometry-optimized LaPmAsO structure, with properties calculated at the GGA-PBE level.

Results
excess energy over the best structure of this formula in the dataset = 3.4 kJ per mole of atoms

Cell lengths 4.263, 8.222, 5.935 Å; angles 90.00, 90.00, 90.00 degrees
Space group Pmc2_1 (No. 26)
Symmetry-distinct sites (fractional):
La 0.000 0.114 0.000 [2 per cell]
Pm 0.500 0.301 0.452 [2 per cell]
As 0.500 0.349 0.948 [2 per cell]
O 0.000 0.175 0.401 [2 per cell]

Entry 7:
Below is a geometry-optimized LaAsPtO structure, with properties calculated at the GGA-PBE level.

Results
E_tot = -6.6839 eV/atom

Cell lengths 4.713, 4.279, 7.387 Å; angles 90.00, 90.00, 90.00 degrees
Space group Pmc2_1 (No. 26)
Symmetry-distinct sites (fractional):
La 0.000 0.249 0.000 [2 per cell]
As 0.500 0.242 0.668 [2 per cell]
Pt 0.500 0.259 0.334 [2 per cell]
O 0.000 0.254 0.334 [2 per cell]

Entry 8:
Below is a geometry-optimized LaTaAsO structure, with properties calculated at the GGA-PBE level.

Results
excess energy over the best structure of this formula in the dataset = 112.8 kJ per mole of atoms

Cell lengths 4.151, 4.151, 8.332 Å; angles 90.00, 90.00, 90.00 degrees
Space group P4/nmm (No. 129, origin choice 2)
Symmetry-distinct sites (fractional):
La 0.250 0.750 0.000 [2 per cell]
Ta 0.250 0.250 0.408 [2 per cell]
As 0.250 0.250 0.734 [2 per cell]
O 0.250 0.750 0.500 [2 per cell]